A PBEsol-optimized structure of SrAuI3, computed with SCAN.

Cell: 6.2000 6.2000 6.2000 Å, 90.00 90.00 90.00°
Last column: nearest neighbours and their distance in Å.
Sites, in units of the cell vectors:
I 0.0000 0.5000 0.0000  2 Sr 3.10
I 0.0000 0.0000 0.5000  2 Sr 3.10
I 0.5000 0.0000 0.0000  2 Sr 3.10
Sr 0.0000 0.0000 0.0000  6 I 3.10
Au 0.5000 0.5000 0.5000  12 I 4.38

=====

A PBEsol-optimized structure of SrTeAuI2, computed with SCAN.

Cell: 6.1052 6.1052 6.3896 Å, 90.00 90.00 90.00°
Last column: nearest neighbours and their distance in Å.
Sites, in units of the cell vectors:
I 0.0000 0.5000 0.0000  2 Sr 3.05
I 0.5000 0.0000 0.0000  2 Sr 3.05
Sr 0.0000 0.0000 0.0000  4 I 3.05, 2 Te 3.19
Te 0.0000 0.0000 0.5000  2 Sr 3.19
Au 0.5000 0.5000 0.5000  4 Te 4.32, 8 I 4.42

=====

A PBEsol-optimized structure of TaAu3I, computed with SCAN.

Cell: 5.0954 5.0954 5.0954 Å, 90.00 90.00 90.00°
Last column: nearest neighbours and their distance in Å.
Sites, in units of the cell vectors:
I 0.5000 0.5000 0.5000  12 Au 3.60
Au 0.0000 0.5000 0.0000  2 Ta 2.55
Au 0.0000 0.0000 0.5000  2 Ta 2.55
Au 0.5000 0.0000 0.0000  2 Ta 2.55
Ta 0.0000 0.0000 0.0000  6 Au 2.55

=====

A PBEsol-optimized structure of Ta3AuI, computed with SCAN.

Cell: 4.9572 4.9572 4.9572 Å, 90.00 90.00 90.00°
Last column: nearest neighbours and their distance in Å.
Sites, in units of the cell vectors:
I 0.5000 0.5000 0.5000  12 Ta 3.51
Au 0.0000 0.0000 0.0000  6 Ta 2.48
Ta 0.0000 0.5000 0.0000  2 Au 2.48
Ta 0.0000 0.0000 0.5000  2 Au 2.48
Ta 0.5000 0.0000 0.0000  2 Au 2.48

=====

A PBEsol-optimized structure of TaTe2AuI, computed with SCAN.

Cell: 5.2801 5.2984 5.2984 Å, 90.00 90.00 90.00°
Last column: nearest neighbours and their distance in Å.
Sites, in units of the cell vectors:
I 0.5000 0.0000 0.0000  2 Au 2.64
Te 0.0000 0.0000 0.5000  2 Au 2.65
Te 0.0000 0.5000 0.0000  2 Au 2.65
Au 0.0000 0.0000 0.0000  2 I 2.64, 4 Te 2.65
Ta 0.5000 0.5000 0.5000  8 Te 3.74, 4 I 3.75

=====

A PBEsol-optimized structure of Ta2TlAuI, computed with SCAN.

Cell: 5.0441 5.0441 5.5835 Å, 90.00 90.00 90.00°
Last column: nearest neighbours and their distance in Å.
Sites, in units of the cell vectors:
I 0.0000 0.0000 0.5000  2 Au 2.79
Tl 0.5000 0.5000 0.5000  4 I 3.57, 8 Ta 3.76
Au 0.0000 0.0000 0.0000  4 Ta 2.52, 2 I 2.79
Ta 0.0000 0.5000 0.0000  2 Au 2.52
Ta 0.5000 0.0000 0.0000  2 Au 2.52

=====

Number 1: E_form (uncorrected) -1.5 eV per formula unit, total magnetic moment 0.00 μB per formula unit. Number 2: E_form (uncorrected) 0.0 eV per formula unit, total magnetic moment 0.98 μB per formula unit. Number 3: E_form (uncorrected) 4.3 eV per formula unit, total magnetic moment 0.00 μB per formula unit. Number 4: E_form (uncorrected) 9.0 eV per formula unit, total magnetic moment 0.00 μB per formula unit. Number 5: E_form (uncorrected) 5.9 eV per formula unit, total magnetic moment 2.30 μB per formula unit. Number 6: E_form (uncorrected) 8.1 eV per formula unit, total magnetic moment 3.46 μB per formula unit.